The following is a PBE-GGA calculation of an optimized crystal structure of BC, from the Alexandria database.

abc: 4.6445 4.6583 4.7853
angles: 105.38 104.91 116.84
With the nearest neighbours (Å) after each atom.
Space group P-1 (No. 2)
Asymmetric unit:
1 B 0.0146 0.1818 0.2943 [2 per cell]  2 C 1.63-1.65, 1 B 1.81
2 B 0.2750 0.4748 0.7223 [2 per cell]  2 C 1.64-1.65, 2 B 1.80-1.81
3 B 0.3063 0.4925 0.1462 [2 per cell]  2 C 1.60-1.66
4 C 0.0160 0.8199 0.1985 [2 per cell]  1 C 1.54, 3 B 1.60-1.65
5 C 0.3874 0.8891 0.8240 [2 per cell]  2 C 1.48-1.49, 2 B 1.64-1.65
6 C 0.3990 0.9017 0.3191 [2 per cell]  3 C 1.49-1.54, 1 B 1.66

Calculated values
Calculated density, g/cm3: 2.84
Excess energy over the best structure of this formula in the dataset, meV per atom: 293
Calculated formation energy, eV/atom: 0.444